Record 1
A geometry-optimized Pr4Nd6Sm structure. Source: Alexandria, functional PBE.

Cell and atoms, written as CIF:
```
data_Pr4Nd6Sm
_cell_length_a 6.782
_cell_length_b 6.782
_cell_length_c 17.451
_cell_angle_alpha 90.00
_cell_angle_beta 90.00
_cell_angle_gamma 90.00
_symmetry_space_group_name_H-M 'I -4 2 m'
_symmetry_Int_Tables_number 121
_symmetry_space_group_name_Hall 'I -4 2'
loop_
_atom_site_label
_atom_site_type_symbol
_atom_site_fract_x
_atom_site_fract_y
_atom_site_fract_z
_atom_site_occupancy
Pr1 Pr 0.178 0.178 0.372 1
Nd1 Nd 0.000 0.500 0.000 1
Nd2 Nd 0.190 0.190 0.177 1
Sm1 Sm 0.000 0.000 0.000 1
```

Computed properties:
* density of states at the Fermi level: 1.53 states/eV per atom
* DFT formation energy: 0.272 eV/atom


Record 2
A geometry-optimized PrNd6Sm8 structure. Source: Alexandria, functional PBE.

Cell and atoms, written as CIF:
```
data_PrNd6Sm8
_cell_length_a 9.4286
_cell_length_b 9.4286
_cell_length_c 20.4360
_cell_angle_alpha 90.00
_cell_angle_beta 90.00
_cell_angle_gamma 120.00
_symmetry_space_group_name_H-M 'R -3'
_symmetry_Int_Tables_number 148
_symmetry_space_group_name_Hall '-R 3'
loop_
_atom_site_label
_atom_site_type_symbol
_atom_site_fract_x
_atom_site_fract_y
_atom_site_fract_z
_atom_site_occupancy
Pr1 Pr 0.0000 0.0000 0.0000 1
Nd1 Nd 0.0450 0.2462 0.6917 1
Sm1 Sm 0.0000 0.0000 0.4289 1
Sm2 Sm 0.0662 0.2462 0.1625 1
```

Computed properties:
* density of states at the Fermi level: 1.46 states/eV per atom
* DFT formation energy: 0.146 eV/atom


Record 3
A geometry-optimized Pr7Nd12Sm structure. Source: Alexandria, functional PBE.

Cell and atoms, written as CIF:
```
data_Pr7Nd12Sm
_cell_length_a 12.4286
_cell_length_b 12.4286
_cell_length_c 16.1862
_cell_angle_alpha 90.00
_cell_angle_beta 90.00
_cell_angle_gamma 120.00
_symmetry_space_group_name_H-M 'R -3'
_symmetry_Int_Tables_number 148
_symmetry_space_group_name_Hall '-R 3'
loop_
_atom_site_label
_atom_site_type_symbol
_atom_site_fract_x
_atom_site_fract_y
_atom_site_fract_z
_atom_site_occupancy
Pr1 Pr 0.0000 0.0000 0.0000 1
Pr2 Pr 0.0567 0.1872 0.2937 1
Nd1 Nd 0.0229 0.4456 0.2222 1
Nd2 Nd 0.0552 0.5896 0.5812 1
Sm1 Sm 0.0000 0.0000 0.5000 1
```

Computed properties:
* density of states at the Fermi level: 1.98 states/eV per atom
* DFT formation energy: 0.208 eV/atom


Record 4
A geometry-optimized PrNd3Sm12 structure. Source: Alexandria, functional PBE.

Cell and atoms, written as CIF:
```
data_PrNd3Sm12
_cell_length_a 5.151
_cell_length_b 5.151
_cell_length_c 20.586
_cell_angle_alpha 90.00
_cell_angle_beta 90.00
_cell_angle_gamma 90.00
_symmetry_space_group_name_H-M 'P 4/m m m'
_symmetry_Int_Tables_number 123
_symmetry_space_group_name_Hall '-P 4 2'
loop_
_atom_site_label
_atom_site_type_symbol
_atom_site_fract_x
_atom_site_fract_y
_atom_site_fract_z
_atom_site_occupancy
Pr1 Pr 0.000 0.000 0.000 1
Nd1 Nd 0.000 0.000 0.250 1
Nd2 Nd 0.000 0.000 0.500 1
Sm1 Sm 0.000 0.500 0.126 1
Sm2 Sm 0.000 0.500 0.375 1
Sm3 Sm 0.500 0.500 0.000 1
Sm4 Sm 0.500 0.500 0.250 1
Sm5 Sm 0.500 0.500 0.500 1
```

Computed properties:
* density of states at the Fermi level: 1.48 states/eV per atom
* DFT formation energy: 0.014 eV/atom


Record 5
A geometry-optimized Pr2Nd7Sm3 structure. Source: Alexandria, functional PBE.

Cell and atoms, written as CIF:
```
data_Pr2Nd7Sm3
_cell_length_a 6.544
_cell_length_b 3.613
_cell_length_c 17.994
_cell_angle_alpha 90.00
_cell_angle_beta 96.05
_cell_angle_gamma 90.00
_symmetry_space_group_name_H-M 'P 1 2/m 1'
_symmetry_Int_Tables_number 10
loop_
_symmetry_equiv_pos_as_xyz
'x,y,z'
'-x,-y,-z'
'-x,y,-z'
'x,-y,z'
loop_
_atom_site_label
_atom_site_type_symbol
_atom_site_fract_x
_atom_site_fract_y
_atom_site_fract_z
_atom_site_occupancy
Pr1 Pr 0.058 0.000 0.170 1
Nd1 Nd 0.000 0.500 0.500 1
Nd2 Nd 0.226 0.000 0.668 1
Nd3 Nd 0.257 0.000 0.998 1
Nd4 Nd 0.276 0.500 0.335 1
Sm1 Sm 0.452 0.500 0.840 1
Sm2 Sm 0.500 0.000 0.500 1
```

Computed properties:
* density of states at the Fermi level: 1.58 states/eV per atom
* DFT formation energy: 0.067 eV/atom


Record 6
A geometry-optimized Pr9NdSm2 structure. Source: Alexandria, functional PBE.

Cell and atoms, written as CIF:
```
data_Pr9NdSm2
_cell_length_a 5.227
_cell_length_b 5.227
_cell_length_c 15.683
_cell_angle_alpha 90.00
_cell_angle_beta 90.00
_cell_angle_gamma 90.00
_symmetry_space_group_name_H-M 'P 4/m m m'
_symmetry_Int_Tables_number 123
_symmetry_space_group_name_Hall '-P 4 2'
loop_
_atom_site_label
_atom_site_type_symbol
_atom_site_fract_x
_atom_site_fract_y
_atom_site_fract_z
_atom_site_occupancy
Pr1 Pr 0.000 0.000 0.000 1
Pr2 Pr 0.000 0.000 0.334 1
Pr3 Pr 0.000 0.500 0.167 1
Pr4 Pr 0.000 0.500 0.500 1
Nd1 Nd 0.500 0.500 0.000 1
Sm1 Sm 0.500 0.500 0.334 1
```

Computed properties:
* density of states at the Fermi level: 1.71 states/eV per atom
* DFT formation energy: 0.012 eV/atom